# 1
A plane-wave DFT calculation with PBE was carried out for a geometry-optimized PrTm3Sb3 structure.

- total magnetic moment (μB per formula unit) = 0.00
- raw formation energy (eV/atom) = -0.84

Cell lengths 9.056, 9.056, 8.030 Å; angles 55.68, 55.68, 60.00 degrees
Atoms (fractional coordinates):
Pr (0.335, 0.335, 0.996)
Pr (0.665, 0.665, 0.004)
Tm (0.348, 0.817, 0.749)
Tm (0.817, 0.085, 0.749)
Tm (0.085, 0.348, 0.749)
Tm (0.915, 0.652, 0.251)
Tm (0.183, 0.915, 0.251)
Tm (0.652, 0.183, 0.251)
Sb (0.292, 0.536, 0.252)
Sb (0.920, 0.292, 0.252)
Sb (0.536, 0.920, 0.252)
Sb (0.464, 0.080, 0.748)
Sb (0.080, 0.708, 0.748)
Sb (0.708, 0.464, 0.748)


# 2
A plane-wave DFT calculation with PBE was carried out for a geometry-optimized SrNiW3 structure.

- DFT formation energy (meV per atom) = 1642
- relative energy among the computed polymorphs (eV per atom) = 0.000
- total magnetic moment (μB per formula unit) = 0.00

Cell lengths 4.684, 4.684, 4.684 Å; angles 90.00, 90.00, 90.00 degrees
Atoms (fractional coordinates):
Sr (0.500, 0.500, 0.500)
W (0.000, 0.500, 0.000)
W (0.000, 0.000, 0.500)
W (0.500, 0.000, 0.000)
Ni (0.000, 0.000, 0.000)


# 3
A plane-wave DFT calculation with PBE was carried out for a geometry-optimized CsDyBeSe3 structure.

- total magnetic moment (μB per formula unit) = 0.00
- raw formation energy (eV/atom) = -1.41

Cell lengths 4.054, 9.937, 9.940 Å; angles 112.85, 90.00, 90.00 degrees
Atoms (fractional coordinates):
Cs (0.250, 0.213, 0.243)
Cs (0.750, 0.787, 0.757)
Dy (0.250, 0.669, 0.144)
Dy (0.750, 0.331, 0.856)
Be (0.250, 0.077, 0.606)
Be (0.750, 0.923, 0.394)
Se (0.750, 0.878, 0.157)
Se (0.250, 0.122, 0.843)
Se (0.250, 0.835, 0.463)
Se (0.750, 0.165, 0.537)
Se (0.750, 0.476, 0.165)
Se (0.250, 0.524, 0.835)


# 4
A plane-wave DFT calculation with PBE was carried out for a geometry-optimized Ba2TlBr structure.

- relative energy among the computed polymorphs (eV per atom) = 0.191
- total magnetic moment (μB per formula unit) = 0.00
- raw formation energy (eV/atom) = -0.80

Cell lengths 6.382, 6.382, 6.382 Å; angles 132.46, 115.18, 84.23 degrees
Atoms (fractional coordinates):
Tl (0.250, 0.750, 0.500)
Ba (0.977, 0.977, 0.000)
Ba (0.523, 0.523, 0.000)
Br (0.750, 0.250, 0.500)


# 5
A plane-wave DFT calculation with PBE was carried out for a geometry-optimized SiHg2Mo structure.

- total magnetic moment (μB per formula unit) = 0.00
- raw formation energy (eV/atom) = 0.76

Cell lengths 5.142, 5.142, 2.885 Å; angles 90.00, 90.00, 90.00 degrees
Atoms (fractional coordinates):
Hg (0.000, 0.000, 0.000)
Hg (0.500, 0.500, 0.000)
Mo (0.500, 0.000, 0.500)
Si (0.000, 0.500, 0.500)


# 6
A plane-wave DFT calculation with PBE was carried out for a geometry-optimized TlCr2Cu structure.

- DFT formation energy (meV per atom) = 970
- total magnetic moment (μB per formula unit) = 0.00

Cell lengths 3.657, 3.657, 9.949 Å; angles 79.41, 79.41, 90.00 degrees
Atoms (fractional coordinates):
Cr (0.555, 0.125, 0.250)
Cr (0.195, 0.625, 0.250)
Cr (0.375, 0.445, 0.750)
Cr (0.875, 0.805, 0.750)
Tl (0.000, 0.000, 0.000)
Tl (0.750, 0.250, 0.500)
Cu (0.500, 0.500, 0.000)
Cu (0.250, 0.750, 0.500)


# 7
A plane-wave DFT calculation with PBE was carried out for a geometry-optimized Pu3Cu2 structure.

- DFT formation energy (meV per atom) = 222
- total magnetic moment (μB per formula unit) = 17.87

Cell lengths 7.813, 7.813, 6.263 Å; angles 51.41, 51.41, 60.00 degrees
Each line ends with the local moment (μB).
Atoms (fractional coordinates):
Cu (0.909, 0.909, 0.273)  0.06
Cu (0.409, 0.409, 0.773)  0.06
Cu (0.091, 0.091, 0.727)  0.06
Cu (0.591, 0.591, 0.227)  0.06
Pu (0.023, 0.750, 0.750)  5.52
Pu (0.750, 0.477, 0.750)  5.52
Pu (0.477, 0.023, 0.750)  5.52
Pu (0.250, 0.523, 0.250)  5.52
Pu (0.523, 0.977, 0.250)  5.52
Pu (0.977, 0.250, 0.250)  5.52


# 8
A plane-wave DFT calculation with PBE was carried out for a geometry-optimized Cs4FeSbCl12 structure.

- total magnetic moment (μB per formula unit) = 1.83
- raw formation energy (eV/atom) = -1.33

Cell lengths 7.480, 7.480, 10.687 Å; angles 90.00, 90.00, 90.00 degrees
Each line ends with the local moment (μB).
Atoms (fractional coordinates):
Cs (0.500, 0.000, 0.762)  0.00
Cs (0.000, 0.500, 0.238)  0.00
Cs (0.500, 0.000, 0.238)  0.00
Cs (0.000, 0.500, 0.762)  0.00
Fe (0.000, 0.000, 0.000)  1.76
Sb (0.500, 0.500, 0.500)  0.00
Cl (0.000, 0.000, 0.787)  0.00
Cl (0.500, 0.500, 0.263)  0.00
Cl (0.738, 0.738, 0.500)  0.00
Cl (0.216, 0.216, 0.000)  -0.01
Cl (0.738, 0.262, 0.500)  0.00
Cl (0.216, 0.784, 0.000)  -0.01
Cl (0.000, 0.000, 0.213)  0.00
Cl (0.500, 0.500, 0.737)  0.00
Cl (0.262, 0.262, 0.500)  0.00
Cl (0.784, 0.784, 0.000)  -0.01
Cl (0.262, 0.738, 0.500)  0.00
Cl (0.784, 0.216, 0.000)  -0.01


# 9
A plane-wave DFT calculation with PBE was carried out for a geometry-optimized Ba2Pt5Au5 structure.

- DFT formation energy (meV per atom) = -489
- total magnetic moment (μB per formula unit) = 0.00

Cell lengths 4.524, 5.678, 9.934 Å; angles 90.00, 90.00, 90.00 degrees
Atoms (fractional coordinates):
Ba (0.000, 0.500, 0.000)
Ba (0.000, 0.000, 0.500)
Pt (0.500, 0.500, 0.500)
Pt (0.500, 0.751, 0.254)
Pt (0.500, 0.249, 0.746)
Pt (0.500, 0.249, 0.254)
Pt (0.500, 0.751, 0.746)
Au (0.000, 0.500, 0.332)
Au (0.000, 0.000, 0.825)
Au (0.000, 0.000, 0.175)
Au (0.000, 0.500, 0.668)
Au (0.500, 0.000, 0.000)


# 10
A plane-wave DFT calculation with PBE was carried out for a geometry-optimized Cr2FeP structure.

- DFT formation energy (meV per atom) = -141
- total magnetic moment (μB per formula unit) = 0.90

Cell lengths 4.382, 4.382, 4.382 Å; angles 132.20, 132.20, 69.92 degrees
Each line ends with the local moment (μB).
Atoms (fractional coordinates):
Cr (0.000, 0.000, 0.000)  1.40
Cr (0.250, 0.750, 0.500)  -1.70
Fe (0.500, 0.500, 0.000)  1.25
P (0.750, 0.250, 0.500)  -0.01


# 11
A plane-wave DFT calculation with PBE was carried out for a geometry-optimized ScMo3 structure.

- DFT formation energy (meV per atom) = 462
- total magnetic moment (μB per formula unit) = 0.00

Cell lengths 4.099, 4.099, 4.099 Å; angles 90.00, 90.00, 90.00 degrees
Atoms (fractional coordinates):
Mo (0.000, 0.000, 0.000)
Mo (0.000, 0.500, 0.500)
Mo (0.500, 0.000, 0.500)
Sc (0.500, 0.500, 0.000)


# 12
A plane-wave DFT calculation with PBE was carried out for a geometry-optimized CeIn4Ni structure.

- DFT formation energy (meV per atom) = -321
- total magnetic moment (μB per formula unit) = 0.79

Cell lengths 4.490, 7.238, 8.771 Å; angles 90.00, 104.85, 90.00 degrees
Each line ends with the local moment (μB).
Atoms (fractional coordinates):
Ni (0.226, 0.250, 0.451)  -0.01
Ni (0.774, 0.750, 0.549)  -0.01
Ce (0.117, 0.750, 0.234)  0.73
Ce (0.883, 0.250, 0.766)  0.72
In (0.500, 0.500, 0.000)  0.00
In (0.500, 0.000, 0.000)  0.01
In (0.688, 0.047, 0.376)  0.00
In (0.312, 0.953, 0.624)  0.00
In (0.312, 0.547, 0.624)  0.00
In (0.688, 0.453, 0.376)  0.00
In (0.074, 0.250, 0.149)  0.00
In (0.926, 0.750, 0.851)  0.00